! PrPu2Th | the Alexandria database | PBE | optimized geometry; values from VASP
&SYSTEM
  ibrav = 0, nat = 4, ntyp = 3
/
ATOMIC_SPECIES
Pr 140.91 Pr.upf
Pu 244.00 Pu.upf
Th 232.04 Th.upf
CELL_PARAMETERS angstrom
3.503 0.000 0.000
0.000 3.503 0.000
0.000 0.000 9.765
ATOMIC_POSITIONS crystal
Pr 0.500 0.500 0.000
Pu 0.000 0.000 0.264
Pu 0.000 0.000 0.736
Th 0.500 0.500 0.500
! ΔE_f ... 0.193 eV per atom
! Size of the total moment ... 11.60 μB/cell
! DOS(E_F) ... 3.685 states/eV/atom
! Relative energy among the computed polymorphs ... 0 meV/atom

! PrPuTh2 | the Alexandria database | PBE | optimized geometry; values from VASP
&SYSTEM
  ibrav = 0, nat = 4, ntyp = 3
/
ATOMIC_SPECIES
Pu 244.00 Pu.upf
Th 232.04 Th.upf
Pr 140.91 Pr.upf
CELL_PARAMETERS angstrom
3.566 0.000 0.000
0.000 3.566 0.000
0.000 0.000 9.799
ATOMIC_POSITIONS crystal
Pu 0.500 0.500 0.500
Th 0.000 0.000 0.272
Th 0.000 0.000 0.728
Pr 0.500 0.500 0.000
! ΔE_f ... 0.126 eV per atom
! Size of the total moment ... 5.25 μB/cell
! DOS(E_F) ... 2.586 states/eV/atom
! Relative energy among the computed polymorphs ... 0 meV/atom

! PrPu2Th | the Alexandria database | PBE | optimized geometry; values from VASP
&SYSTEM
  ibrav = 0, nat = 4, ntyp = 3
/
ATOMIC_SPECIES
Pu 244.00 Pu.upf
Th 232.04 Th.upf
Pr 140.91 Pr.upf
CELL_PARAMETERS angstrom
4.862 0.000 0.000
0.000 4.972 0.000
0.000 0.000 4.972
ATOMIC_POSITIONS crystal
Pu 0.000 0.500 0.000
Pu 0.000 0.000 0.500
Th 0.500 0.000 0.000
Pr 0.500 0.500 0.500
! ΔE_f ... 0.218 eV per atom
! Size of the total moment ... 11.94 μB/cell
! DOS(E_F) ... 3.534 states/eV/atom
! Relative energy among the computed polymorphs ... 25 meV/atom

! PrPuTl3 | the Alexandria database | PBE | optimized geometry; values from VASP
&SYSTEM
  ibrav = 0, nat = 10, ntyp = 3
/
ATOMIC_SPECIES
Pr 140.91 Pr.upf
Pu 244.00 Pu.upf
Tl 204.38 Tl.upf
CELL_PARAMETERS angstrom
-5.943 0.369 0.543
0.333 -4.207 6.503
0.512 7.727 0.352
ATOMIC_POSITIONS crystal
Pr 0.250 0.334 0.666
Pr 0.750 0.666 0.334
Pu 0.000 0.000 0.000
Pu 0.500 0.000 0.000
Tl 0.750 0.202 0.403
Tl 0.250 0.798 0.597
Tl 0.250 0.799 0.201
Tl 0.750 0.597 0.798
Tl 0.750 0.201 0.799
Tl 0.250 0.403 0.202
! ΔE_f ... -0.011 eV per atom
! Size of the total moment ... 11.30 μB/cell
! DOS(E_F) ... 1.694 states/eV/atom